[1]
VASP calculation (PBE) on a relaxed Ti4NbSb2 crystal.

DOS at the Fermi energy: 17.20 states/eV/cell

a = 7.4840 Å, b = 5.3956 Å, c = 8.0339 Å
α = 90.00°, β = 123.61°, γ = 90.00°
Last column: nearest neighbours and their distance in Å.
Atoms (fractional coordinates):
Sb  0.8138  0.7500  0.0302  7 Ti 2.74-3.06, 1 Nb 3.04
Sb  0.1862  0.2500  0.9698  7 Ti 2.74-3.06, 1 Nb 3.04
Sb  0.2510  0.2500  0.4335  4 Ti 2.70-2.81, 3 Nb 2.81-2.92
Sb  0.7490  0.7500  0.5665  4 Ti 2.70-2.81, 3 Nb 2.81-2.92
Ti  0.5860  0.5005  0.2062  5 Ti 2.69-2.91, 2 Sb 2.79-2.84
Ti  0.8483  0.2500  0.1032  3 Sb 2.70-2.74, 2 Ti 2.86, 1 Nb 2.96
Ti  0.0465  0.7500  0.4567  1 Nb 2.63, 2 Sb 2.81-2.86, 2 Ti 2.91
Ti  0.9535  0.2500  0.5433  1 Nb 2.63, 2 Sb 2.81-2.86, 2 Ti 2.91
Ti  0.4140  0.4995  0.7938  5 Ti 2.69-2.91, 2 Sb 2.79-2.84
Ti  0.5860  0.9995  0.2062  5 Ti 2.69-2.91, 2 Sb 2.79-2.84
Ti  0.1517  0.7500  0.8968  3 Sb 2.70-2.74, 2 Ti 2.86, 1 Nb 2.96
Ti  0.4140  0.0005  0.7938  5 Ti 2.69-2.91, 2 Sb 2.79-2.84
Nb  0.7020  0.2500  0.6767  1 Ti 2.63, 3 Sb 2.81-2.92
Nb  0.2980  0.7500  0.3233  1 Ti 2.63, 3 Sb 2.81-2.92


[2]
VASP calculation (PBE) on a relaxed Mg6AlPb5 crystal.

DOS at the Fermi energy: 5.05 states/eV/cell
E_form: -0.019 eV per atom

a = 4.8172 Å, b = 8.7576 Å, c = 8.7576 Å
α = 110.66°, β = 105.96°, γ = 105.96°
Last column: nearest neighbours and their distance in Å.
Atoms (fractional coordinates):
Pb  0.5000  0.5000  0.5000  8 Mg 3.22-3.28, 4 Pb 3.44
Pb  0.0000  0.6705  0.3295  8 Mg 3.23-3.31, 4 Pb 3.44-3.45
Pb  0.0000  0.3295  0.6705  8 Mg 3.23-3.31, 4 Pb 3.44-3.45
Pb  0.5000  0.1580  0.8420  8 Mg 3.12-3.44, 2 Al 3.31, 2 Pb 3.45
Pb  0.5000  0.8420  0.1580  8 Mg 3.12-3.44, 2 Al 3.31, 2 Pb 3.45
Mg  0.7455  0.2455  0.2455  6 Pb 3.12-3.31, 2 Al 3.22, 4 Mg 3.34
Mg  0.2436  0.0832  0.4040  1 Al 3.14, 7 Pb 3.21-3.44, 2 Mg 3.34
Mg  0.7564  0.9168  0.5960  1 Al 3.14, 7 Pb 3.21-3.44, 2 Mg 3.34
Mg  0.2545  0.7545  0.7545  6 Pb 3.12-3.31, 2 Al 3.22, 4 Mg 3.34
Mg  0.2436  0.4040  0.0832  1 Al 3.14, 7 Pb 3.21-3.44, 2 Mg 3.34
Mg  0.7564  0.5960  0.9168  1 Al 3.14, 7 Pb 3.21-3.44, 2 Mg 3.34
Al  0.0000  0.0000  0.0000  8 Mg 3.14-3.22, 4 Pb 3.31


[3]
VASP calculation (PBE) on a relaxed NdMg2PaN4 crystal.

a = 3.5183 Å, b = 5.6284 Å, c = 6.0794 Å
α = 69.26°, β = 90.00°, γ = 90.00°
Last column: nearest neighbours and their distance in Å.
Atoms (fractional coordinates):
N  0.0000  0.7404  0.7261  1 Pa 2.24, 2 Mg 2.39, 2 Nd 2.47
N  0.0000  0.2596  0.2739  1 Pa 2.24, 2 Mg 2.39, 2 Nd 2.47
N  0.5000  0.2545  0.7335  3 Mg 2.35-2.48, 2 Pa 2.37, 1 Nd 2.47
N  0.5000  0.7456  0.2665  3 Mg 2.35-2.48, 2 Pa 2.37, 1 Nd 2.47
Mg  0.0000  0.0000  0.0000  6 N 2.48-2.57
Mg  0.5000  0.0000  0.5000  6 N 2.35-2.39
Nd  0.5000  0.5000  0.0000  6 N 2.47
Pa  0.0000  0.5000  0.5000  6 N 2.24-2.37


[4]
VASP calculation (PBE) on a relaxed Nd4ZnCuHg2 crystal.

DOS at the Fermi energy: 8.11 states/eV/cell
E_form: -0.327 eV per atom

a = 5.3107 Å, b = 5.3107 Å, c = 9.1896 Å
α = 73.20°, β = 73.20°, γ = 60.00°
Last column: nearest neighbours and their distance in Å.
Atoms (fractional coordinates):
Hg  0.7464  0.7464  0.7609  8 Nd 3.20-3.31
Hg  0.2536  0.2536  0.2391  8 Nd 3.20-3.31
Nd  0.3779  0.3779  0.8663  1 Cu 3.17, 4 Hg 3.20-3.23, 3 Zn 3.28
Nd  0.1274  0.1274  0.6177  3 Cu 3.23, 4 Hg 3.28-3.31, 1 Zn 3.31
Nd  0.6221  0.6221  0.1337  1 Cu 3.17, 4 Hg 3.20-3.23, 3 Zn 3.28
Nd  0.8726  0.8726  0.3823  3 Cu 3.23, 4 Hg 3.28-3.31, 1 Zn 3.31
Cu  0.5000  0.5000  0.5000  8 Nd 3.17-3.23
Zn  0.0000  0.0000  0.0000  8 Nd 3.28-3.31


[5]
VASP calculation (PBE) on a relaxed KTl2N2 crystal.

DOS at the Fermi energy: 4.49 states/eV/cell

a = 7.3857 Å, b = 7.3857 Å, c = 3.3628 Å
α = 90.00°, β = 90.00°, γ = 90.00°
Last column: nearest neighbours and their distance in Å.
Atoms (fractional coordinates):
N  0.8424  0.6576  0.0000  6 Tl 2.68-2.79, 2 K 2.78
N  0.1576  0.3424  0.0000  6 Tl 2.68-2.79, 2 K 2.78
N  0.6576  0.1576  0.0000  6 Tl 2.68-2.79, 2 K 2.78
N  0.3424  0.8424  0.0000  6 Tl 2.68-2.79, 2 K 2.78
K  0.0000  0.0000  0.0000  4 N 2.78
K  0.5000  0.5000  0.0000  4 N 2.78
Tl  0.6430  0.8570  0.5000  6 N 2.68-2.79, 1 Tl 2.99
Tl  0.8570  0.3570  0.5000  6 N 2.68-2.79, 1 Tl 2.99
Tl  0.1430  0.6430  0.5000  6 N 2.68-2.79, 1 Tl 2.99
Tl  0.3570  0.1430  0.5000  6 N 2.68-2.79, 1 Tl 2.99


[6]
VASP calculation (PBE) on a relaxed LaMg2ScHg4 crystal.

DOS at the Fermi energy: 2.95 states/eV/cell
E_form: -0.426 eV per atom

a = 5.0383 Å, b = 5.0383 Å, c = 8.9876 Å
α = 73.72°, β = 73.72°, γ = 60.00°
Last column: nearest neighbours and their distance in Å.
Atoms (fractional coordinates):
Mg  0.2470  0.2470  0.2591  7 Hg 2.98-3.12
Mg  0.7530  0.7530  0.7409  7 Hg 2.98-3.12
Hg  0.3846  0.3846  0.8463  1 Sc 2.94, 3 Mg 3.04, 3 La 3.19
Hg  0.1301  0.1301  0.6098  4 Mg 2.98-3.12, 3 Sc 3.06, 1 La 3.32
Hg  0.8699  0.8699  0.3902  4 Mg 2.98-3.12, 3 Sc 3.06, 1 La 3.32
Hg  0.6154  0.6154  0.1537  1 Sc 2.94, 3 Mg 3.04, 3 La 3.19
Sc  0.5000  0.5000  0.5000  8 Hg 2.94-3.06
La  0.0000  0.0000  0.0000  8 Hg 3.19-3.32


[7]
VASP calculation (PBE) on a relaxed Ti3NiBi crystal.

DOS at the Fermi energy: 4.88 states/eV/cell
E_form: 0.049 eV per atom

a = 4.5978 Å, b = 4.5978 Å, c = 4.5978 Å
α = 90.00°, β = 90.00°, γ = 90.00°
Last column: nearest neighbours and their distance in Å.
Atoms (fractional coordinates):
Ni  0.0000  0.0000  0.0000  6 Ti 2.30
Ti  0.0000  0.0000  0.5000  2 Ni 2.30
Ti  0.0000  0.5000  0.0000  2 Ni 2.30
Ti  0.5000  0.0000  0.0000  2 Ni 2.30
Bi  0.5000  0.5000  0.5000  12 Ti 3.25


[8]
VASP calculation (PBE) on a relaxed Pu7RuRh3 crystal.

DOS at the Fermi energy: 46.95 states/eV/cell
E_form: -0.138 eV per atom

a = 5.1840 Å, b = 7.4099 Å, c = 7.4099 Å
α = 89.47°, β = 110.46°, γ = 110.46°
Last column: nearest neighbours and their distance in Å.
Atoms (fractional coordinates):
Pu  0.8280  0.8276  0.8276  4 Rh 2.86-3.04, 1 Ru 3.00, 3 Pu 3.10-3.16
Pu  0.6572  0.4001  0.9142  4 Pu 2.88-3.11, 4 Rh 2.92-3.16, 1 Ru 3.04
Pu  0.1720  0.1724  0.1724  4 Rh 2.86-3.04, 1 Ru 3.00, 3 Pu 3.10-3.16
Pu  0.6572  0.9142  0.4001  4 Pu 2.88-3.11, 4 Rh 2.92-3.16, 1 Ru 3.04
Pu  0.0000  0.5000  0.5000  2 Ru 2.59, 2 Rh 2.83
Pu  0.3428  0.0858  0.5999  4 Pu 2.88-3.11, 4 Rh 2.92-3.16, 1 Ru 3.04
Pu  0.3428  0.5999  0.0858  4 Pu 2.88-3.11, 4 Rh 2.92-3.16, 1 Ru 3.04
Ru  0.5000  0.5000  0.5000  2 Pu 2.59
Rh  0.0000  0.7709  0.2291  9 Pu 2.83-3.16
Rh  0.0000  0.2291  0.7709  9 Pu 2.83-3.16
Rh  0.5000  0.0000  0.0000  8 Pu 2.92-3.04


[9]
VASP calculation (PBE) on a relaxed ZnB3Sb crystal.

DOS at the Fermi energy: 2.93 states/eV/cell

a = 4.5164 Å, b = 4.5164 Å, c = 4.5164 Å
α = 90.00°, β = 90.00°, γ = 90.00°
Last column: nearest neighbours and their distance in Å.
Atoms (fractional coordinates):
B  0.5000  0.0000  0.0000  2 Sb 2.26
B  0.0000  0.5000  0.0000  2 Sb 2.26
B  0.0000  0.0000  0.5000  2 Sb 2.26
Zn  0.5000  0.5000  0.5000  12 B 3.19
Sb  0.0000  0.0000  0.0000  6 B 2.26


[10]
VASP calculation (PBE) on a relaxed BeBr3 crystal.

DOS at the Fermi energy: 3.46 states/eV/cell

a = 4.8377 Å, b = 4.8377 Å, c = 11.0783 Å
α = 90.00°, β = 90.00°, γ = 142.22°
Last column: nearest neighbours and their distance in Å.
Atoms (fractional coordinates):
Br  0.5000  0.5000  0.1447  2 Be 2.24
Br  0.5000  0.5000  0.8553  2 Be 2.24
Br  0.0000  0.0000  0.5000  2 Br 3.13
Be  0.0000  0.0000  0.0000  4 Br 2.24


[11]
VASP calculation (PBE) on a relaxed Sc5Hg2Bi crystal.

DOS at the Fermi energy: 10.10 states/eV/cell
E_form: -0.426 eV per atom

a = 7.7726 Å, b = 7.7726 Å, c = 8.3056 Å
α = 117.90°, β = 117.90°, γ = 90.00°
Last column: nearest neighbours and their distance in Å.
Atoms (fractional coordinates):
Sc  0.0000  0.0000  0.0000  4 Hg 2.99, 2 Bi 3.11
Sc  0.3008  0.8008  0.2989  3 Hg 2.93-2.95, 2 Bi 3.21
Sc  0.4981  0.3008  0.2989  3 Hg 2.93-2.95, 2 Bi 3.21
Sc  0.9981  0.4981  0.2989  3 Hg 2.93-2.95, 2 Bi 3.21
Sc  0.6992  0.1992  0.7011  3 Hg 2.93-2.95, 2 Bi 3.21
Sc  0.1992  0.0019  0.7011  3 Hg 2.93-2.95, 2 Bi 3.21
Sc  0.0019  0.5019  0.7011  3 Hg 2.93-2.95, 2 Bi 3.21
Sc  0.8008  0.9981  0.2989  3 Hg 2.93-2.95, 2 Bi 3.21
Sc  0.5019  0.6992  0.7011  3 Hg 2.93-2.95, 2 Bi 3.21
Sc  0.5000  0.5000  0.0000  4 Hg 2.99, 2 Bi 3.11
Hg  0.8571  0.6429  0.0000  8 Sc 2.93-2.99, 1 Hg 3.14
Hg  0.6429  0.1429  0.0000  8 Sc 2.93-2.99, 1 Hg 3.14
Hg  0.1429  0.3571  0.0000  8 Sc 2.93-2.99, 1 Hg 3.14
Hg  0.3571  0.8571  0.0000  8 Sc 2.93-2.99, 1 Hg 3.14
Bi  0.7500  0.7500  0.5000  10 Sc 3.11-3.21
Bi  0.2500  0.2500  0.5000  10 Sc 3.11-3.21


[12]
VASP calculation (PBE) on a relaxed PdRhPb2 crystal.

DOS at the Fermi energy: 2.90 states/eV/cell
E_form: -0.006 eV per atom

a = 3.4096 Å, b = 4.8481 Å, c = 4.8481 Å
α = 90.00°, β = 90.00°, γ = 90.00°
Last column: nearest neighbours and their distance in Å.
Atoms (fractional coordinates):
Rh  0.5000  0.5000  0.5000  8 Pb 2.96
Pb  0.0000  0.5000  0.0000  4 Rh 2.96, 4 Pd 2.96
Pb  0.0000  0.0000  0.5000  4 Rh 2.96, 4 Pd 2.96
Pd  0.5000  0.0000  0.0000  8 Pb 2.96


[13]
VASP calculation (PBE) on a relaxed LaAs2 crystal.

DOS at the Fermi energy: 2.22 states/eV/cell
E_form: -0.916 eV per atom

a = 6.0714 Å, b = 6.0714 Å, c = 6.0714 Å
α = 120.87°, β = 120.87°, γ = 88.50°
Last column: nearest neighbours and their distance in Å.
Atoms (fractional coordinates):
La  0.2500  0.2500  0.0000  8 As 3.14
La  0.7500  0.7500  0.0000  8 As 3.14
As  0.6555  0.8445  0.5000  1 As 2.64
As  0.8445  0.3445  0.1890  1 As 2.64
As  0.1555  0.6555  0.8110  1 As 2.64
As  0.3445  0.1555  0.5000  1 As 2.64


[14]
VASP calculation (PBE) on a relaxed ZrZn crystal.

DOS at the Fermi energy: 9.90 states/eV/cell
E_form: -0.146 eV per atom

a = 6.5779 Å, b = 6.5779 Å, c = 5.9450 Å
α = 76.96°, β = 76.96°, γ = 49.91°
Last column: nearest neighbours and their distance in Å.
Atoms (fractional coordinates):
Zr  0.7603  0.3912  0.2422  5 Zn 2.87-3.00, 2 Zr 3.15
Zr  0.2650  0.3438  0.3712  6 Zn 2.79-3.04, 1 Zr 3.02
Zr  0.1930  0.8070  0.5000  6 Zn 2.93-3.02, 6 Zr 3.02-3.23
Zr  0.6088  0.2397  0.7578  5 Zn 2.87-3.00, 2 Zr 3.15
Zr  0.6562  0.7350  0.6288  6 Zn 2.79-3.04, 1 Zr 3.02
Zn  0.4407  0.9545  0.0970  3 Zn 2.57-2.69, 2 Zr 2.79-2.87
Zn  0.0455  0.5593  0.9030  3 Zn 2.57-2.69, 2 Zr 2.79-2.87
Zn  0.8212  0.9146  0.2093  3 Zn 2.56-2.69, 1 Zr 2.81
Zn  0.0854  0.1788  0.7907  3 Zn 2.56-2.69, 1 Zr 2.81
Zn  0.2905  0.7095  0.0000  4 Zn 2.56-2.58


[15]
VASP calculation (PBE) on a relaxed Tl2SiSe crystal.

DOS at the Fermi energy: 2.08 states/eV/cell

a = 3.6466 Å, b = 3.6466 Å, c = 7.9345 Å
α = 90.00°, β = 90.00°, γ = 90.00°
Last column: nearest neighbours and their distance in Å.
Atoms (fractional coordinates):
Tl  0.0000  0.0000  0.9641  1 Se 3.09, 4 Si 3.44
Tl  0.5000  0.5000  0.2849  1 Si 3.11, 4 Se 3.45
Si  0.5000  0.5000  0.6767  4 Se 2.70
Se  0.0000  0.0000  0.5743  4 Si 2.70


[16]
VASP calculation (PBE) on a relaxed HgIrO crystal.

DOS at the Fermi energy: 10.44 states/eV/cell

a = 5.6798 Å, b = 4.5523 Å, c = 9.9652 Å
α = 79.76°, β = 73.44°, γ = 51.40°
Last column: nearest neighbours and their distance in Å.
Atoms (fractional coordinates):
Ir  0.6658  0.5000  0.6683  2 O 2.00
Ir  0.8342  0.5000  0.3317  2 O 2.00
Ir  0.0842  0.0000  0.8317  2 O 2.00
Ir  0.9158  0.0000  0.1683  2 O 2.00
O  0.9171  0.1658  0.5000  2 Ir 2.00
O  0.8329  0.3342  0.0000  2 Ir 2.00
O  0.5829  0.8342  0.5000  2 Ir 2.00
O  0.1671  0.6658  0.0000  2 Ir 2.00
Hg  0.5749  0.0000  0.8501  2 O 2.77, 4 Ir 2.85-2.86, 3 Hg 2.86-2.97
Hg  0.4251  0.0000  0.1499  2 O 2.77, 4 Ir 2.85-2.86, 3 Hg 2.86-2.97
Hg  0.3249  0.5000  0.3501  2 O 2.77, 4 Ir 2.85-2.86, 3 Hg 2.86-2.97
Hg  0.1751  0.5000  0.6499  2 O 2.77, 4 Ir 2.85-2.86, 3 Hg 2.86-2.97


[17]
VASP calculation (PBE) on a relaxed Zr3Al crystal.

DOS at the Fermi energy: 4.88 states/eV/cell
E_form: -0.191 eV per atom

a = 3.1307 Å, b = 3.1307 Å, c = 8.7679 Å
α = 90.00°, β = 90.00°, γ = 89.99°
Last column: nearest neighbours and their distance in Å.
Atoms (fractional coordinates):
Zr  0.5000  0.5000  0.7693  4 Al 3.00, 8 Zr 3.13-3.24
Zr  0.0000  0.0000  0.5000  12 Zr 3.13-3.24
Zr  0.5000  0.5000  0.2307  4 Al 3.00, 8 Zr 3.13-3.24
Al  0.0000  0.0000  0.0000  8 Zr 3.00, 4 Al 3.13


[18]
VASP calculation (PBE) on a relaxed V2Si2P crystal.

DOS at the Fermi energy: 6.19 states/eV/cell

a = 6.3069 Å, b = 6.3069 Å, c = 3.4603 Å
α = 90.00°, β = 90.00°, γ = 90.00°
Last column: nearest neighbours and their distance in Å.
Atoms (fractional coordinates):
Si  0.8656  0.3656  0.5000  1 Si 2.40, 6 V 2.48-2.57
Si  0.1344  0.6344  0.5000  1 Si 2.40, 6 V 2.48-2.57
Si  0.6344  0.8656  0.5000  1 Si 2.40, 6 V 2.48-2.57
Si  0.3656  0.1344  0.5000  1 Si 2.40, 6 V 2.48-2.57
V  0.8341  0.6659  0.0000  2 P 2.35, 6 Si 2.48-2.57
V  0.1659  0.3341  0.0000  2 P 2.35, 6 Si 2.48-2.57
V  0.3341  0.8341  0.0000  2 P 2.35, 6 Si 2.48-2.57
V  0.6659  0.1659  0.0000  2 P 2.35, 6 Si 2.48-2.57
P  0.0000  0.0000  0.0000  4 V 2.35
P  0.5000  0.5000  0.0000  4 V 2.35


Volume, respectively: 270; 303; 113; 212; 183; 187; 97; 248; 92; 159; 376; 80; 156; 191; 106; 193; 86; 138 Å³ per cell.
Raw total energy, respectively: -101.6; -32.1; -60.0; -27.7; -34.1; -19.1; -33.1; -133.2; -14.6; -10.1; -79.1; -20.0; -33.9; -50.6; -13.2; -54.4; -30.1; -71.8 eV/cell.